No. 1
Here is crystalline Zn2Mo2P at its relaxed geometry from Alexandria via LeMat-Bulk. Energies are from PBE.

Values from the calculation:
DFT formation energy: -44 meV/atom
Spin magnetization: 0.0 μB/f.u.
Space group: No. 127
Energy above the lowest structure with this stoichiometry: 0 meV per atom

a = 6.141 Å, b = 6.141 Å, c = 4.276 Å
α = 90.00°, β = 90.00°, γ = 90.00°
Sites, in units of the cell vectors:
Zn 0.152 0.348 0.000
Zn 0.348 0.848 0.000
Zn 0.652 0.152 0.000
Zn 0.848 0.652 0.000
Mo 0.149 0.649 0.500
Mo 0.351 0.149 0.500
Mo 0.649 0.851 0.500
Mo 0.851 0.351 0.500
P 0.000 0.000 0.500
P 0.500 0.500 0.500



No. 2
Here is crystalline Tb12Y6Ho at its relaxed geometry from Alexandria via LeMat-Bulk. Energies are from PBE.

Values from the calculation:
DFT formation energy: 156 meV/atom
Spin magnetization: 0.0 μB/f.u.
Space group: No. 148
Energy above the lowest structure with this stoichiometry: 0 meV per atom

a = 8.551 Å, b = 8.551 Å, c = 8.551 Å
α = 88.86°, β = 88.86°, γ = 88.86°
Sites, in units of the cell vectors:
Tb 0.014 0.356 0.205
Tb 0.205 0.014 0.356
Tb 0.225 0.565 0.459
Tb 0.356 0.205 0.014
Tb 0.435 0.541 0.775
Tb 0.459 0.225 0.565
Tb 0.541 0.775 0.435
Tb 0.565 0.459 0.225
Tb 0.644 0.795 0.986
Tb 0.775 0.435 0.541
Tb 0.795 0.986 0.644
Tb 0.986 0.644 0.795
Y 0.094 0.260 0.693
Y 0.260 0.693 0.094
Y 0.307 0.906 0.740
Y 0.693 0.094 0.260
Y 0.740 0.307 0.906
Y 0.906 0.740 0.307
Ho 0.000 0.000 0.000



No. 3
Here is crystalline NaMgGeRu2 at its relaxed geometry from Alexandria via LeMat-Bulk. Energies are from PBE.

Values from the calculation:
DFT formation energy: 1377 meV/atom
Spin magnetization: 1.3 μB/f.u.
Space group: No. 123

a = 4.650 Å, b = 4.650 Å, c = 4.497 Å
α = 90.00°, β = 90.00°, γ = 90.00°
Sites, in units of the cell vectors:
Na 0.000 0.000 0.000
Mg 0.000 0.000 0.500
Ge 0.500 0.500 0.000
Ru 0.000 0.500 0.500
Ru 0.500 0.000 0.500



No. 4
Here is crystalline Nd2ErGa at its relaxed geometry from Alexandria via LeMat-Bulk. Energies are from PBE.

Values from the calculation:
DFT formation energy: -257 meV/atom
Spin magnetization: 0.0 μB/f.u.
Space group: No. 11
Energy above the lowest structure with this stoichiometry: 0 meV per atom

a = 3.693 Å, b = 9.957 Å, c = 6.687 Å
α = 90.00°, β = 106.02°, γ = 90.00°
Sites, in units of the cell vectors:
Nd 0.135 0.050 0.269
Nd 0.135 0.450 0.269
Nd 0.865 0.550 0.731
Nd 0.865 0.950 0.731
Er 0.442 0.250 0.885
Er 0.558 0.750 0.115
Ga 0.242 0.750 0.481
Ga 0.758 0.250 0.519



No. 5
Here is crystalline Gd3DyCo at its relaxed geometry from Alexandria via LeMat-Bulk. Energies are from PBE.

Values from the calculation:
DFT formation energy: 8 meV/atom
Spin magnetization: 22.8 μB/f.u.
Space group: No. 221

a = 5.310 Å, b = 5.310 Å, c = 5.310 Å
α = 90.00°, β = 90.00°, γ = 90.00°
Sites, in units of the cell vectors:
Gd 0.000 0.000 0.500
Gd 0.000 0.500 0.000
Gd 0.500 0.000 0.000
Dy 0.500 0.500 0.500
Co 0.000 0.000 0.000



Repeat the third record exactly.
Here is crystalline NaMgGeRu2 at its relaxed geometry from Alexandria via LeMat-Bulk. Energies are from PBE.

Values from the calculation:
DFT formation energy: 1377 meV/atom
Spin magnetization: 1.3 μB/f.u.
Space group: No. 123

a = 4.650 Å, b = 4.650 Å, c = 4.497 Å
α = 90.00°, β = 90.00°, γ = 90.00°
Sites, in units of the cell vectors:
Na 0.000 0.000 0.000
Mg 0.000 0.000 0.500
Ge 0.500 0.500 0.000
Ru 0.000 0.500 0.500
Ru 0.500 0.000 0.500